Entry from Alexandria via LeMat-Bulk: crystalline Mg2Ga2Au7 at its relaxed geometry (PBE).

abc: 6.5103 6.5103 5.4543
angles: 90.21 90.21 85.49
Last column: nearest neighbours and their distance in Å.
Element x y z (fractional)
Mg  0.1914  0.8086  0.0000  6 Au 2.79-3.03
Mg  0.8086  0.1914  0.0000  6 Au 2.79-3.03
Ga  0.2675  0.2675  0.4987  7 Au 2.56-2.63
Ga  0.7325  0.7325  0.5013  7 Au 2.56-2.63
Au  0.0000  0.0000  0.5000  2 Ga 2.56
Au  0.0001  0.4989  0.7552  2 Ga 2.62, 2 Au 2.67-2.78, 2 Mg 2.79
Au  0.9999  0.5011  0.2448  2 Ga 2.62, 2 Au 2.67-2.78, 2 Mg 2.79
Au  0.4989  0.0001  0.7552  2 Ga 2.62, 2 Au 2.67-2.78, 2 Mg 2.79
Au  0.4998  0.4998  0.2431  2 Ga 2.63, 2 Au 2.65-2.80
Au  0.5002  0.5002  0.7569  2 Ga 2.63, 2 Au 2.65-2.80
Au  0.5011  0.9999  0.2448  2 Ga 2.62, 2 Au 2.67-2.78, 2 Mg 2.79

Properties
As for the space group: C2/m, No. 12. The value obtained for the formation enthalpy at 0 K is -181 meV per atom.